Record 1
Density functional theory data (PBE-GGA) for a relaxed structure of Cr2Fe2Pd.

Structure (CIF):
```
data_Cr2Fe2Pd
_cell_length_a 6.726
_cell_length_b 6.726
_cell_length_c 2.635
_cell_angle_alpha 90.00
_cell_angle_beta 90.00
_cell_angle_gamma 90.00
_space_group_name_H-M_alt 'P 4/m b m'
_space_group_IT_number 127
_space_group_name_Hall '-P 4 2ab'
loop_
_atom_site_label
_atom_site_fract_x
_atom_site_fract_y
_atom_site_fract_z
Cr1 0.165 0.335 0.000
Fe1 0.132 0.632 0.500
Pd1 0.000 0.000 0.500
```

Results
- DOS at the Fermi energy: 0.908 states/eV per atom
- ΔE to the lowest computed polymorph: 0.0 meV/atom
- Crystal system: tetragonal

---

Record 2
Density functional theory data (PBE-GGA) for a relaxed structure of CrFe2Pd2.

Structure (CIF):
```
data_CrFe2Pd2
_cell_length_a 5.704
_cell_length_b 5.704
_cell_length_c 4.033
_cell_angle_alpha 90.00
_cell_angle_beta 90.00
_cell_angle_gamma 90.00
_space_group_name_H-M_alt 'P 4/m b m'
_space_group_IT_number 127
_space_group_name_Hall '-P 4 2ab'
loop_
_atom_site_label
_atom_site_fract_x
_atom_site_fract_y
_atom_site_fract_z
Cr1 0.000 0.000 0.000
Fe1 0.133 0.367 0.000
Pd1 0.173 0.673 0.500
```

Results
- DOS at the Fermi energy: 1.135 states/eV per atom
- Crystal system: tetragonal

---

Record 3
Density functional theory data (PBE-GGA) for a relaxed structure of Cr2Fe2Pd.

Structure (CIF):
```
data_Cr2Fe2Pd
_cell_length_a 6.828
_cell_length_b 6.828
_cell_length_c 2.586
_cell_angle_alpha 90.00
_cell_angle_beta 90.00
_cell_angle_gamma 90.00
_space_group_name_H-M_alt 'P 4/m b m'
_space_group_IT_number 127
_space_group_name_Hall '-P 4 2ab'
loop_
_atom_site_label
_atom_site_fract_x
_atom_site_fract_y
_atom_site_fract_z
Cr1 0.127 0.373 0.000
Fe1 0.167 0.667 0.500
Pd1 0.000 0.000 0.000
```

Results
- DOS at the Fermi energy: 1.104 states/eV per atom
- ΔE to the lowest computed polymorph: 95.7 meV/atom
- Crystal system: tetragonal

---

Record 4
Density functional theory data (PBE-GGA) for a relaxed structure of Cr2FePd8.

Structure (CIF):
```
data_Cr2FePd8
_cell_length_a 13.904
_cell_length_b 3.971
_cell_length_c 6.181
_cell_angle_alpha 90.00
_cell_angle_beta 106.38
_cell_angle_gamma 90.00
_space_group_name_H-M_alt 'C 1 2/m 1'
_space_group_IT_number 12
loop_
_space_group_symop_operation_xyz
'x,y,z'
'-x,-y,-z'
'-x,y,-z'
'x,-y,z'
'x+1/2,y+1/2,z'
'-x+1/2,-y+1/2,-z'
'-x+1/2,y+1/2,-z'
'x+1/2,-y+1/2,z'
loop_
_atom_site_label
_atom_site_fract_x
_atom_site_fract_y
_atom_site_fract_z
Cr1 0.223 0.000 0.147
Fe1 0.000 0.500 0.500
Pd1 0.043 0.000 0.231
Pd2 0.098 0.500 0.955
Pd3 0.143 0.000 0.695
Pd4 0.179 0.500 0.418
```

Results
- DOS at the Fermi energy: 1.273 states/eV per atom
- Crystal system: monoclinic

---

| no. | energy relative to the elements (eV/atom) |
| --- | --- |
| 1 | 0.13 |
| 2 | 0.35 |
| 3 | 0.23 |
| 4 | -0.04 |